Record 1
VASP calculation (GGA-PBE) on an optimized crystal structure of ZnSbP2.

Polymorph energy (0 for the lowest one) in eV per atom: 0.147
Total magnetization in μB per atom: 0.0000

The structure in POSCAR format:
```
ZnSbP2
1.0
-3.5554 -2.9919 0.1336
1.1083 0.8664 -4.4265
1.1935 -3.9719 -2.0773
P Sb Zn
2 1 1
direct
0.0000 0.0000 0.0000
0.5000 0.0000 0.5000
0.0000 0.5000 0.5000
0.5000 0.5000 0.0000
```

***

Record 2
VASP calculation (GGA-PBE) on an optimized crystal structure of ZnSbP2.

Polymorph energy (0 for the lowest one) in eV per atom: 0.070
Total magnetization in μB per atom: 0.0000

The structure in POSCAR format:
```
ZnSbP2
1.0
-2.9083 -1.3198 -1.3518
2.5828 -3.2347 -2.3984
0.2347 -3.9445 3.3462
P Sb Zn
2 1 1
direct
0.0000 0.0665 0.9331
0.5000 0.2534 0.1810
0.0000 0.4676 0.5093
0.5000 0.7125 0.8765
```

***

Record 3
VASP calculation (GGA-PBE) on an optimized crystal structure of Zn3SbP.

Polymorph energy (0 for the lowest one) in eV per atom: 0.823
Total magnetization in μB per atom: 0.2470

The structure in POSCAR format:
```
Zn3SbP
1.0
5.1471 0.0000 0.0000
0.0000 5.1471 0.0000
0.0000 0.0000 5.1471
Sb Zn P
1 3 1
direct
0.0000 0.0000 0.0000
0.0000 0.5000 0.0000
0.0000 0.0000 0.5000
0.5000 0.0000 0.0000
0.5000 0.5000 0.5000
```

***

Record 4
VASP calculation (GGA-PBE) on an optimized crystal structure of ZnSbP.

Polymorph energy (0 for the lowest one) in eV per atom: 0.000
Total magnetization in μB per atom: 0.0000

The structure in POSCAR format:
```
ZnSbP
1.0
-3.0273 0.0149 -2.2581
0.6293 -2.9325 2.2953
-2.6604 2.2323 3.5813
Zn Sb P
1 1 1
direct
0.3333 0.6667 0.7128
0.6667 0.3333 0.3123
0.0000 0.0000 0.9750
```

***

Record 5
VASP calculation (GGA-PBE) on an optimized crystal structure of Zn2SbP.

Polymorph energy (0 for the lowest one) in eV per atom: 0.094
Total magnetization in μB per atom: 0.0000

The structure in POSCAR format:
```
Zn2SbP
1.0
-0.0241 -2.5651 -6.1387
0.7037 -5.4625 -3.7323
-2.8984 -4.2404 -4.2288
Zn Sb P
2 1 1
direct
0.0104 0.0104 0.0104
0.7560 0.7560 0.7560
0.2448 0.2448 0.2448
0.4887 0.4887 0.4887
```

***

Record 6
VASP calculation (GGA-PBE) on an optimized crystal structure of Zn2SbP.

Polymorph energy (0 for the lowest one) in eV per atom: 0.297
Total magnetization in μB per atom: 0.0000

The structure in POSCAR format:
```
Zn2SbP
1.0
4.0556 0.0000 0.0000
0.0000 4.0556 0.0000
0.0000 0.0000 4.6825
Zn Sb P
2 1 1
direct
0.5000 0.0000 0.0000
0.0000 0.5000 0.0000
0.0000 0.0000 0.5000
0.5000 0.5000 0.5000
```

***

Record 7
VASP calculation (GGA-PBE) on an optimized crystal structure of ZnSbP2.

Polymorph energy (0 for the lowest one) in eV per atom: 0.087
Total magnetization in μB per atom: 0.0000

The structure in POSCAR format:
```
ZnSbP2
1.0
-2.6096 -2.2842 -0.8635
-0.7362 -0.4690 3.4657
-4.1266 4.8001 -0.2270
P Sb Zn
2 1 1
direct
0.0000 0.0000 0.1414
0.5000 0.5000 0.0929
0.0000 0.0000 0.5452
0.5000 0.5000 0.7205
```

***

Record 8
VASP calculation (GGA-PBE) on an optimized crystal structure of ZnSbP2.

Polymorph energy (0 for the lowest one) in eV per atom: 0.008
Total magnetization in μB per atom: 0.0000

The structure in POSCAR format:
```
ZnSbP2
1.0
-4.8895 0.0034 -3.0611
-0.9033 -5.5134 1.4367
-5.8840 -1.0215 3.9618
Sb Zn P
2 2 4
direct
0.0000 0.0000 0.0000
0.7500 0.2500 0.5000
0.5000 0.5000 0.0000
0.2500 0.7500 0.5000
0.5882 0.1250 0.2500
0.1618 0.6250 0.2500
0.3750 0.4118 0.7500
0.8750 0.8382 0.7500
```

***

Record 9
VASP calculation (GGA-PBE) on an optimized crystal structure of ZnSbP4.

E in eV/atom: -3.955
Total magnetization in μB per atom: 0.0000

The structure in POSCAR format:
```
ZnSbP4
1.0
-5.6812 -0.4762 -0.3665
-3.3101 1.9779 4.2153
-3.2087 4.6529 -0.8316
Zn Sb P
1 1 4
direct
0.0000 0.0000 0.0000
0.2500 0.2500 0.2500
0.6519 0.6519 0.0444
0.6519 0.0444 0.6519
0.6519 0.6519 0.6519
0.0444 0.6519 0.6519
```

***

Record 10
VASP calculation (GGA-PBE) on an optimized crystal structure of Zn2SbP2.

Polymorph energy (0 for the lowest one) in eV per atom: 0.000
Total magnetization in μB per atom: 0.0000

The structure in POSCAR format:
```
Zn2SbP2
1.0
-3.5337 -0.0522 -1.4112
-0.3011 -3.6875 0.8903
-4.2607 -0.2761 5.5482
Sb Zn P
1 2 2
direct
0.0000 0.0000 0.0000
0.7500 0.2500 0.5000
0.2500 0.7500 0.5000
0.3757 0.3757 0.2485
0.6243 0.6243 0.7515
```

***

Record 11
VASP calculation (GGA-PBE) on an optimized crystal structure of Zn2SbP.

Polymorph energy (0 for the lowest one) in eV per atom: 0.120
Total magnetization in μB per atom: 0.0000

The structure in POSCAR format:
```
Zn2SbP
1.0
-1.7715 1.8405 5.9804
1.7715 -1.8405 5.9804
1.7715 1.8405 -5.9804
Zn Sb P
2 1 1
direct
0.0054 0.0054 0.0000
0.3243 0.8243 0.5000
0.6952 0.1952 0.5000
0.4750 0.4750 0.0000
```

***

Record 12
VASP calculation (GGA-PBE) on an optimized crystal structure of Zn3SbP.

Polymorph energy (0 for the lowest one) in eV per atom: 0.000
Total magnetization in μB per atom: 0.0000

The structure in POSCAR format:
```
Zn3SbP
1.0
4.3090 0.0000 0.0000
0.0000 6.1690 -3.8055
0.0000 -1.5556 10.8173
Zn Sb P
6 2 2
direct
0.7500 0.2404 0.2727
0.7500 0.5903 0.8736
0.2500 0.9457 0.1264
0.2500 0.2957 0.7273
0.2500 0.7400 0.6374
0.7500 0.7961 0.3626
0.7500 0.0431 0.6748
0.2500 0.4930 0.3252
0.2500 0.7093 0.8359
0.7500 0.8268 0.1641
```

***

Record 13
VASP calculation (GGA-PBE) on an optimized crystal structure of ZnSbP2.

Polymorph energy (0 for the lowest one) in eV per atom: 0.396
Total magnetization in μB per atom: 0.0000

The structure in POSCAR format:
```
ZnSbP2
1.0
4.6651 0.0000 0.0000
0.0000 4.6651 0.0000
0.0000 0.0000 3.3646
P Sb Zn
2 1 1
direct
0.0000 0.0000 0.0000
0.5000 0.5000 0.0000
0.5000 0.0000 0.5000
0.0000 0.5000 0.5000
```

***

Record 14
VASP calculation (GGA-PBE) on an optimized crystal structure of ZnSbP3.

Polymorph energy (0 for the lowest one) in eV per atom: 0.000
Total magnetization in μB per atom: 0.0000

The structure in POSCAR format:
```
ZnSbP3
1.0
4.6566 0.0000 0.0000
0.0000 4.6566 0.0000
0.0000 0.0000 4.6566
Sb Zn P
1 1 3
direct
0.5000 0.5000 0.5000
0.0000 0.0000 0.0000
0.0000 0.5000 0.0000
0.0000 0.0000 0.5000
0.5000 0.0000 0.0000
```

***

Record 15
VASP calculation (GGA-PBE) on an optimized crystal structure of Zn2SbP.

Polymorph energy (0 for the lowest one) in eV per atom: 0.342
Total magnetization in μB per atom: 0.0000

The structure in POSCAR format:
```
Zn2SbP
1.0
-3.4167 2.1749 2.4920
-3.3183 2.5603 -2.2467
-4.4787 -1.5830 -0.2217
Zn Sb P
2 1 1
direct
0.0000 0.0000 0.0000
0.7500 0.7500 0.7500
0.2500 0.2500 0.2500
0.5000 0.5000 0.5000
```

***

Record 16
VASP calculation (GGA-PBE) on an optimized crystal structure of ZnSbP2.

Polymorph energy (0 for the lowest one) in eV per atom: 0.206
Total magnetization in μB per atom: 0.0000

The structure in POSCAR format:
```
ZnSbP2
1.0
5.6023 0.0272 -0.0238
2.0865 5.1993 0.0238
-3.0290 -3.8127 2.7704
P Sb Zn
2 1 1
direct
0.9957 0.9957 0.0000
0.8264 0.3264 0.5000
0.4652 0.4652 0.0000
0.2127 0.7127 0.5000
```

***

Record 17
VASP calculation (GGA-PBE) on an optimized crystal structure of ZnSbP2.

Polymorph energy (0 for the lowest one) in eV per atom: 0.000
Total magnetization in μB per atom: 0.0000

The structure in POSCAR format:
```
ZnSbP2
1.0
3.7973 0.0000 0.0000
0.0000 4.6343 -0.0029
0.0000 1.2711 4.6048
P Sb Zn
2 1 1
direct
0.0000 0.0424 0.9244
0.0000 0.4576 0.5756
0.5000 0.2500 0.2500
0.5000 0.7500 0.7500
```

***

Record 18
VASP calculation (GGA-PBE) on an optimized crystal structure of Zn2SbP.

Polymorph energy (0 for the lowest one) in eV per atom: 0.000
Total magnetization in μB per atom: 0.0000

The structure in POSCAR format:
```
Zn2SbP
1.0
-1.3097 0.7186 -2.6790
3.1321 -1.2767 -1.8736
-2.8979 -6.5930 -0.3518
Zn Sb P
2 1 1
direct
0.0000 0.0000 0.9884
0.5000 0.5000 0.4104
0.5000 0.5000 0.7898
0.0000 0.0000 0.3115
```

***

Record 19
VASP calculation (GGA-PBE) on an optimized crystal structure of ZnSbP2.

Polymorph energy (0 for the lowest one) in eV per atom: 0.271
Total magnetization in μB per atom: 0.0000

The structure in POSCAR format:
```
ZnSbP2
1.0
-1.9316 -1.1203 -2.7274
-0.5818 -3.0446 1.6627
-4.9889 2.3547 2.5660
P Sb Zn
2 1 1
direct
0.0000 0.0000 0.9310
0.0000 0.0000 0.5690
0.5000 0.5000 0.2500
0.5000 0.5000 0.7500
```

***

Record 20
VASP calculation (GGA-PBE) on an optimized crystal structure of ZnSbP.

Polymorph energy (0 for the lowest one) in eV per atom: 0.249
Total magnetization in μB per atom: 0.0000

The structure in POSCAR format:
```
ZnSbP
1.0
0.0000 3.2083 3.2083
3.2083 0.0000 3.2083
3.2083 3.2083 0.0000
Zn Sb P
1 1 1
direct
0.2500 0.2500 0.2500
0.5000 0.5000 0.5000
0.0000 0.0000 0.0000
```

***

Record 21
VASP calculation (GGA-PBE) on an optimized crystal structure of ZnSbP2.

Polymorph energy (0 for the lowest one) in eV per atom: 0.210
Total magnetization in μB per atom: 0.0000

The structure in POSCAR format:
```
ZnSbP2
1.0
5.9041 0.0267 0.0802
5.0615 3.0397 0.0802
2.1576 0.6033 4.7438
P Sb Zn
2 1 1
direct
0.0122 0.0122 0.8850
0.4878 0.4878 0.6150
0.2500 0.2500 0.2500
0.7500 0.7500 0.7500
```

***

Record 22
VASP calculation (GGA-PBE) on an optimized crystal structure of ZnSbP2.

Polymorph energy (0 for the lowest one) in eV per atom: 0.392
Total magnetization in μB per atom: 0.0000

The structure in POSCAR format:
```
ZnSbP2
1.0
4.6100 0.0539 0.0000
-0.7792 4.5440 0.0000
0.0000 0.0000 3.5169
P Sb Zn
2 1 1
direct
0.0000 0.0000 0.0000
0.5000 0.5000 0.0000
0.5000 0.0000 0.5000
0.0000 0.5000 0.5000
```

***

Record 23
VASP calculation (GGA-PBE) on an optimized crystal structure of ZnSbP.

Polymorph energy (0 for the lowest one) in eV per atom: 0.372
Total magnetization in μB per atom: 0.0000

The structure in POSCAR format:
```
ZnSbP
1.0
-1.1589 -3.4173 -2.9809
-4.2341 -1.9802 0.2416
-3.1530 0.7996 -3.3654
Zn Sb P
1 1 1
direct
0.0000 0.0000 0.0000
0.2500 0.2500 0.2500
0.5000 0.5000 0.5000
```

***

Record 24
VASP calculation (GGA-PBE) on an optimized crystal structure of Zn2SbP.

Polymorph energy (0 for the lowest one) in eV per atom: 0.020
Total magnetization in μB per atom: 0.0000

The structure in POSCAR format:
```
Zn2SbP
1.0
1.4713 6.6105 1.1999
-2.2355 6.4055 1.1293
-0.3806 5.4359 4.1963
Zn Sb P
2 1 1
direct
0.2691 0.2691 0.2691
0.7309 0.7309 0.7309
0.5000 0.5000 0.5000
0.0000 0.0000 0.0000
```

***

Record 25
VASP calculation (GGA-PBE) on an optimized crystal structure of Zn2SbP.

Polymorph energy (0 for the lowest one) in eV per atom: 0.230
Total magnetization in μB per atom: 0.0000

The structure in POSCAR format:
```
Zn2SbP
1.0
3.5454 0.0000 0.0000
0.0000 3.5454 0.0000
0.0000 0.0000 5.9867
Zn Sb P
2 1 1
direct
0.0000 0.0000 0.7903
0.0000 0.0000 0.2097
0.5000 0.5000 0.5000
0.5000 0.5000 0.0000
```

***

Record 26
VASP calculation (GGA-PBE) on an optimized crystal structure of Zn2SbP.

Polymorph energy (0 for the lowest one) in eV per atom: 0.268
Total magnetization in μB per atom: 0.0000

The structure in POSCAR format:
```
Zn2SbP
1.0
-1.9377 1.9377 5.1090
1.9377 -1.9377 5.1090
1.9377 1.9377 -5.1090
Zn Sb P
2 1 1
direct
0.0000 0.0000 0.0000
0.2500 0.7500 0.5000
0.7500 0.2500 0.5000
0.5000 0.5000 0.0000
```

***

Record 27
VASP calculation (GGA-PBE) on an optimized crystal structure of Zn2SbP.

Polymorph energy (0 for the lowest one) in eV per atom: 0.274
Total magnetization in μB per atom: 0.0000

The structure in POSCAR format:
```
Zn2SbP
1.0
2.8249 -3.6349 0.0000
2.8249 3.6349 0.0000
0.0000 0.0000 3.7108
Zn Sb P
2 1 1
direct
0.5000 0.0000 0.0000
0.0000 0.5000 0.0000
0.5000 0.5000 0.5000
0.0000 0.0000 0.5000
```

***

Record 28
VASP calculation (GGA-PBE) on an optimized crystal structure of Zn2SbP.

Polymorph energy (0 for the lowest one) in eV per atom: 0.297
Total magnetization in μB per atom: 0.0000

The structure in POSCAR format:
```
Zn2SbP
1.0
4.3441 0.1388 2.4861
0.4176 4.8144 1.3109
-3.8824 -3.0698 0.7583
Zn Sb P
2 1 1
direct
0.7500 0.2500 0.5000
0.2500 0.7500 0.5000
0.0000 0.0000 0.0000
0.5000 0.5000 0.0000
```

***

Record 29
VASP calculation (GGA-PBE) on an optimized crystal structure of ZnSbP2.

Polymorph energy (0 for the lowest one) in eV per atom: 0.410
Total magnetization in μB per atom: 0.0000

The structure in POSCAR format:
```
ZnSbP2
1.0
-5.3427 -0.5796 -2.6550
-4.7951 -2.8603 2.1807
4.2422 3.9952 1.4039
P Sb Zn
2 1 1
direct
0.0000 0.0000 0.0000
0.2500 0.7500 0.5000
0.5000 0.5000 0.0000
0.7500 0.2500 0.5000
```

***

Record 30
VASP calculation (GGA-PBE) on an optimized crystal structure of Zn2SbP.

Polymorph energy (0 for the lowest one) in eV per atom: 0.017
Total magnetization in μB per atom: 0.0000

The structure in POSCAR format:
```
Zn2SbP
1.0
1.8627 3.9361 0.0191
-1.8627 3.9361 0.0191
0.0000 2.1116 5.4867
Zn Sb P
2 1 1
direct
0.0155 0.0155 0.0297
0.2190 0.2190 0.2730
0.7954 0.7954 0.7844
0.4700 0.4700 0.4129
```